{"formula": "CdGeTeO", "functional": "PBE", "state": "optimized geometry", "de_polymorph_mev_per_atom": 185.7, "cell": [[-0.655, -3.343, -4.371], [4.430, -2.932, 1.579], [-4.115, -4.169, 3.805]], "species": ["Cd", "Cd", "Te", "Te", "Ge", "Ge", "O", "O"], "fractional_positions": [[0.750, 0.750, 0.676], [0.250, 0.250, 0.324], [0.250, 0.750, 0.500], [0.750, 0.250, 0.500], [0.250, 0.250, 0.776], [0.750, 0.750, 0.224], [0.750, 0.750, 0.982], [0.250, 0.250, 0.018]]}